Density functional theory data (GGA-PBE) for crystalline RbPb3N at its relaxed geometry.

Lattice parameters (Å, degrees): 5.3114 5.3114 5.3114 90.00 90.00 90.00
With the nearest neighbours (Å) after each atom.
Space group Pm-3m (No. 221)
Unique sites:
Rb: 0.0000 0.0000 0.0000  12 Pb 3.76
Pb: 0.0000 0.5000 0.5000  2 N 2.66
N: 0.5000 0.5000 0.5000  6 Pb 2.66

* E_tot: -3.55 eV per atom

Density functional theory data (GGA-PBE) for crystalline RbPb3N at its relaxed geometry.

Lattice parameters (Å, degrees): 6.2102 6.2102 6.2102 90.00 90.00 90.00
With the nearest neighbours (Å) after each atom.
Space group Pm-3m (No. 221)
Unique sites:
Rb: 0.0000 0.0000 0.0000  6 Pb 3.11
Pb: 0.0000 0.0000 0.5000  2 Rb 3.11
N: 0.5000 0.5000 0.5000  12 Pb 4.39

* E_tot: -1.73 eV per atom

Density functional theory data (GGA-PBE) for crystalline RbPb2N at its relaxed geometry.

Lattice parameters (Å, degrees): 7.2280 7.2280 10.9790 90.00 90.00 90.00
With the nearest neighbours (Å) after each atom.
Space group I-42d (No. 122)
Unique sites:
Rb: 0.0000 0.0000 0.0000  4 Pb 3.65
Pb: 0.1037 0.2500 0.6250  2 N 2.39
N: 0.0000 0.0000 0.5000  4 Pb 2.39

* E_tot: -3.62 eV per atom

Density functional theory data (GGA-PBE) for crystalline RbPbS2N at its relaxed geometry.

Lattice parameters (Å, degrees): 5.7521 5.7521 4.9690 90.00 90.00 90.00
With the nearest neighbours (Å) after each atom.
Space group P4/mmm (No. 123)
Unique sites:
Rb: 0.0000 0.0000 0.0000  2 N 2.48
Pb: 0.5000 0.5000 0.5000  8 S 3.80, 4 N 4.07
S: 0.0000 0.5000 0.0000  2 Rb 2.88
N: 0.0000 0.0000 0.5000  2 Rb 2.48

* E_tot: -2.90 eV per atom

Density functional theory data (GGA-PBE) for crystalline RbPbS2N at its relaxed geometry.

Lattice parameters (Å, degrees): 5.3743 5.3743 4.7552 90.00 90.00 90.00
With the nearest neighbours (Å) after each atom.
Space group P4/mmm (No. 123)
Unique sites:
Rb: 0.0000 0.0000 0.0000  8 S 3.59, 4 N 3.80
Pb: 0.5000 0.5000 0.5000  2 N 2.38
S: 0.0000 0.5000 0.5000  2 Pb 2.69
N: 0.5000 0.5000 0.0000  2 Pb 2.38

* E_tot: -3.81 eV per atom

Density functional theory data (GGA-PBE) for crystalline Rb2SrPbN at its relaxed geometry.

Lattice parameters (Å, degrees): 8.0812 8.0812 6.0566 90.00 90.00 90.00
With the nearest neighbours (Å) after each atom.
Space group P4/mmm (No. 123)
Unique sites:
Rb: 0.0000 0.5000 0.0000  2 Sr 4.04
Sr: 0.0000 0.0000 0.0000  2 Pb 3.03
Pb: 0.0000 0.0000 0.5000  2 Sr 3.03
N: 0.5000 0.5000 0.5000  8 Rb 5.05

* E_tot: -1.89 eV per atom

What is the E_tot in the fourth record? -2.90 eV per atom